Entry 1:
VASP calculation (SCAN) on a crystal of Zr2MoPt relaxed with PBEsol.

a b c (Å): 4.5890 4.5890 3.3869
angles (deg): 90.00 90.00 90.00
Space group P4/mmm (No. 123)
Asymmetric unit:
Zr 0.0000 0.5000 0.0000 [2 per cell]
Mo 0.0000 0.0000 0.5000 [1 per cell]
Pt 0.5000 0.5000 0.5000 [1 per cell]

Results
ΔH_f (0 K): -2.9 eV/f.u.
E: -42.3346 eV/atom
crystal system: tetragonal

---

Entry 2:
VASP calculation (SCAN) on a crystal of PbWO3 relaxed with PBEsol.

a b c (Å): 3.9913 3.9913 3.9913
angles (deg): 90.00 90.00 90.00
Space group Pm-3m (No. 221)
Asymmetric unit:
Pb 0.0000 0.0000 0.0000 [1 per cell]
W 0.5000 0.5000 0.5000 [1 per cell]
O 0.0000 0.5000 0.5000 [3 per cell]

Results
E: -34.3761 eV/atom
raw formation energy: -7.718 eV/f.u.
crystal system: cubic

---

Entry 3:
VASP calculation (SCAN) on a crystal of TaBe2Fe relaxed with PBEsol.

a b c (Å): 3.1934 3.6998 3.8223
angles (deg): 90.00 90.00 90.00
Space group Pmmm (No. 47)
Asymmetric unit:
Ta 0.0000 0.0000 0.0000 [1 per cell]
Be 0.0000 0.5000 0.5000 [1 per cell]
Be 0.5000 0.0000 0.5000 [1 per cell]
Fe 0.5000 0.5000 0.0000 [1 per cell]

Results
ΔH_f (0 K): 0.2 eV/f.u.
E: -23.2943 eV/atom
ΔE to the lowest computed polymorph: 0.122 eV/atom
crystal system: orthorhombic

---

Entry 4:
VASP calculation (SCAN) on a crystal of Ge3MoS relaxed with PBEsol.

a b c (Å): 4.8237 4.8237 4.8237
angles (deg): 90.00 90.00 90.00
Space group Pm-3m (No. 221)
Asymmetric unit:
Ge 0.0000 0.0000 0.5000 [3 per cell]
Mo 0.0000 0.0000 0.0000 [1 per cell]
S 0.5000 0.5000 0.5000 [1 per cell]

Results
E: -19.7367 eV/atom
ΔE to the lowest computed polymorph: 0.000 eV/atom
raw formation energy: 3.093 eV/f.u.
crystal system: cubic